# 1
First-principles (PBE) data for crystalline KAs2Au at its relaxed geometry, as listed in Alexandria.

Cell lengths 3.2567, 3.2567, 8.6989 Å; angles 90.00, 90.00, 90.00 degrees
Sites, in units of the cell vectors:
K: 0.5000 0.5000 0.7500
As: 0.0000 0.0000 0.0497
As: 0.0000 0.0000 0.4503
Au: 0.5000 0.5000 0.2500

Calculated values
As for the size of the total moment: 0.000 μB/f.u. Its density of states at the Fermi level is 2.29 states/eV per cell. The value obtained for the offset from the most stable computed form is 337.5 meV per atom. As for the volume: 92 Å³/cell. Its formation energy is 178 meV/atom.

***

# 2
First-principles (PBE) data for crystalline Nb2TcSe4 at its relaxed geometry, as listed in Alexandria.

Cell lengths 3.4282, 6.3967, 7.2733 Å; angles 118.35, 103.63, 90.00 degrees
Sites, in units of the cell vectors:
Se: 0.9031 0.2439 0.8062
Se: 0.0969 0.7561 0.1938
Se: 0.3640 0.6988 0.7281
Se: 0.6360 0.3012 0.2719
Nb: 0.2569 0.1922 0.5139
Nb: 0.7431 0.8078 0.4861
Tc: 0.0000 0.0000 0.0000

Calculated values
As for the size of the total moment: 0.000 μB/f.u. Its density of states at the Fermi level is 3.70 states/eV per cell. As for the volume: 135 Å³/cell. For the uncorrected formation energy, the calculation gives -634 meV per atom.

***

# 3
First-principles (PBE) data for crystalline BeSiSb2 at its relaxed geometry, as listed in Alexandria.

Cell lengths 6.2914, 6.2914, 6.2914 Å; angles 144.32, 144.32, 51.34 degrees
Sites, in units of the cell vectors:
Be: 0.7500 0.2500 0.5000
Sb: 0.2500 0.7500 0.5000
Sb: 0.0000 0.0000 0.0000
Si: 0.5000 0.5000 0.0000

Calculated values
As for the size of the total moment: 0.000 μB/f.u. Its density of states at the Fermi level is 2.03 states/eV per cell. As for the volume: 84 Å³/cell. For the uncorrected formation energy, the calculation gives 657 meV per atom.

***

# 4
First-principles (PBE) data for crystalline LaZn2Ga at its relaxed geometry, as listed in Alexandria.

Cell lengths 4.2730, 4.2730, 9.6826 Å; angles 90.00, 90.00, 90.00 degrees
Sites, in units of the cell vectors:
Ga: 0.5000 0.0000 0.6537
La: 0.5000 0.0000 0.2428
La: 0.0000 0.5000 0.7572
Zn: 0.5000 0.0000 0.9250
Zn: 0.5000 0.5000 0.5000
Zn: 0.0000 0.0000 0.5000
Ga: 0.0000 0.5000 0.3463
Zn: 0.0000 0.5000 0.0750

Calculated values
As for the size of the total moment: 0.000 μB/f.u. Its density of states at the Fermi level is 3.78 states/eV per cell. As for the volume: 177 Å³/cell. Its formation energy is -363 meV/atom.

***

# 5
First-principles (PBE) data for crystalline YNbBr2 at its relaxed geometry, as listed in Alexandria.

Cell lengths 9.7820, 9.7820, 9.7820 Å; angles 19.93, 19.93, 19.93 degrees
Sites, in units of the cell vectors:
Br: 0.9082 0.9082 0.9082
Y: 0.5000 0.5000 0.5000
Nb: 0.0000 0.0000 0.0000
Br: 0.0918 0.0918 0.0918

Calculated values
As for the size of the total moment: 0.000 μB/f.u. Its density of states at the Fermi level is 2.84 states/eV per cell. The value obtained for the offset from the most stable computed form is 0.0 meV per atom. As for the volume: 95 Å³/cell. For the uncorrected formation energy, the calculation gives -325 meV per atom.

***

# 6
First-principles (PBE) data for crystalline Sr4Pa3CuP8 at its relaxed geometry, as listed in Alexandria.

Cell lengths 8.2523, 8.3434, 8.2541 Å; angles 119.65, 119.99, 90.00 degrees
Sites, in units of the cell vectors:
Pa: 0.5000 0.5000 0.5000
Pa: 0.0000 0.5000 0.5000
P: 0.2609 0.2826 0.5218
Sr: 0.5000 0.0000 0.0000
P: 0.7391 0.7174 0.4782
Pa: 0.5000 0.5000 0.0000
P: 0.2392 0.7079 0.4784
P: 0.2703 0.2923 0.0313
Sr: 0.0000 0.0000 0.5000
Sr: 0.0000 0.0000 0.0000
P: 0.7608 0.2921 0.5216
Sr: 0.5000 0.0000 0.5000
Cu: 0.0000 0.5000 0.0000
P: 0.2390 0.7077 0.9687
P: 0.7297 0.7077 0.9687
P: 0.7610 0.2923 0.0313

Calculated values
As for the size of the total moment: 0.000 μB/f.u. Its density of states at the Fermi level is 3.79 states/eV per cell. As for the volume: 404 Å³/cell. Its formation energy is -973 meV/atom.

***

# 7
First-principles (PBE) data for crystalline YZrAl2 at its relaxed geometry, as listed in Alexandria.

Cell lengths 3.2663, 3.2664, 8.1056 Å; angles 90.00, 90.00, 90.00 degrees
Sites, in units of the cell vectors:
Y: 0.0000 0.0000 0.4744
Al: 0.5000 0.5000 0.2093
Al: 0.0000 0.0000 0.0221
Zr: 0.5000 0.5000 0.7941

Calculated values
As for the size of the total moment: 0.000 μB/f.u. Its density of states at the Fermi level is 3.87 states/eV per cell. The value obtained for the offset from the most stable computed form is 204.7 meV per atom. As for the volume: 86 Å³/cell. Its formation energy is -187 meV/atom.

***

# 8
First-principles (PBE) data for crystalline RbZnAu at its relaxed geometry, as listed in Alexandria.

Cell lengths 3.6910, 3.6910, 6.7310 Å; angles 105.91, 105.91, 90.00 degrees
Sites, in units of the cell vectors:
Rb: 0.0036 0.0036 0.0072
Au: 0.7231 0.7231 0.4462
Zn: 0.2733 0.2733 0.5466

Calculated values
As for the size of the total moment: 0.000 μB/f.u. Its density of states at the Fermi level is 0.80 states/eV per cell. The value obtained for the offset from the most stable computed form is 82.7 meV per atom. As for the volume: 85 Å³/cell. Its formation energy is -119 meV/atom.

***

# 9
First-principles (PBE) data for crystalline AcTaRu2 at its relaxed geometry, as listed in Alexandria.

Cell lengths 3.2618, 3.2618, 7.4787 Å; angles 90.00, 90.00, 90.00 degrees
Sites, in units of the cell vectors:
Ta: 0.5000 0.5000 0.0000
Ru: 0.0000 0.0000 0.8038
Ac: 0.5000 0.5000 0.5000
Ru: 0.0000 0.0000 0.1962

Calculated values
As for the size of the total moment: 0.000 μB/f.u. Its density of states at the Fermi level is 2.87 states/eV per cell. As for the volume: 80 Å³/cell. Its formation energy is -97 meV/atom.

***

# 10
First-principles (PBE) data for crystalline MoIr3 at its relaxed geometry, as listed in Alexandria.

Cell lengths 4.4137, 4.4137, 4.4137 Å; angles 60.00, 60.00, 60.00 degrees
Sites, in units of the cell vectors:
Ir: 0.0000 0.0000 0.0000
Ir: 0.2500 0.2500 0.2500
Ir: 0.5000 0.5000 0.5000
Mo: 0.7500 0.7500 0.7500

Calculated values
As for the size of the total moment: 0.001 μB/f.u. Its density of states at the Fermi level is 5.41 states/eV per cell. The value obtained for the offset from the most stable computed form is 639.9 meV per atom. As for the volume: 61 Å³/cell. Its formation energy is 304 meV/atom.

***

# 11
First-principles (PBE) data for crystalline LaCdCl2 at its relaxed geometry, as listed in Alexandria.

Cell lengths 11.6769, 11.6769, 11.6769 Å; angles 19.39, 19.39, 19.39 degrees
Sites, in units of the cell vectors:
Cl: 0.8854 0.8854 0.8854
Cd: 0.0000 0.0000 0.0000
La: 0.5000 0.5000 0.5000
Cl: 0.1146 0.1146 0.1146

Calculated values
As for the size of the total moment: 0.000 μB/f.u. Its density of states at the Fermi level is 3.20 states/eV per cell. The value obtained for the offset from the most stable computed form is 42.5 meV per atom. As for the volume: 153 Å³/cell. For the uncorrected formation energy, the calculation gives -1389 meV per atom.

***

# 12
First-principles (PBE) data for crystalline Ac5La5Pm2 at its relaxed geometry, as listed in Alexandria.

Cell lengths 5.4362, 8.5495, 11.4959 Å; angles 72.58, 76.32, 71.46 degrees
Sites, in units of the cell vectors:
La: 0.6672 0.6664 0.9992
Ac: 0.1617 0.1734 0.5032
La: 0.4209 0.9111 0.2472
Pm: 0.9157 0.4139 0.7547
Pm: 0.0843 0.5861 0.2453
La: 0.5000 0.5000 0.5000
Ac: 0.2526 0.7421 0.7526
La: 0.3328 0.3336 0.0008
Ac: 0.0000 0.0000 0.0000
Ac: 0.7474 0.2579 0.2474
La: 0.5791 0.0889 0.7528
Ac: 0.8383 0.8266 0.4968

Calculated values
As for the size of the total moment: 0.000 μB/f.u. Its density of states at the Fermi level is 22.10 states/eV per cell. As for the volume: 477 Å³/cell. Its formation energy is 24 meV/atom.